Entry 1:
A plane-wave DFT calculation with PBE+U was carried out for Pb2WF8 after structural relaxation.

a b c (Å): 4.8920 6.5482 6.9801
angles (deg): 111.89 91.42 108.36
Positions (direct):
Pb: 0.2234 0.3881 0.1586
Pb: 0.7766 0.6119 0.8414
W: 0.0000 0.0000 0.5000
F: 0.1183 0.0451 0.8060
F: 0.2402 0.8022 0.3812
F: 0.2875 0.5851 0.9324
F: 0.3047 0.2920 0.5079
F: 0.6953 0.7080 0.4921
F: 0.7125 0.4149 0.0676
F: 0.7598 0.1978 0.6188
F: 0.8817 0.9549 0.1940

Computed properties:
* D(E_F): 0.00 states/eV per cell
* E_tot: -5.236 eV/atom

***

Entry 2:
A plane-wave DFT calculation with PBE+U was carried out for PbWF3 after structural relaxation.

a b c (Å): 4.4436 4.4436 4.4436
angles (deg): 90.00 90.00 90.00
Positions (direct):
Pb: 0.0000 0.0000 0.0000
W: 0.5000 0.5000 0.5000
F: 0.0000 0.5000 0.5000
F: 0.5000 0.0000 0.5000
F: 0.5000 0.5000 0.0000

Computed properties:
* D(E_F): 1.75 states/eV per cell
* E_tot: -4.807 eV/atom

***

Entry 3:
A plane-wave DFT calculation with PBE+U was carried out for PbW3F after structural relaxation.

a b c (Å): 5.8130 5.8130 5.8130
angles (deg): 90.00 90.00 90.00
Positions (direct):
Pb: 0.0000 0.0000 0.0000
W: 0.0000 0.0000 0.5000
W: 0.0000 0.5000 0.0000
W: 0.5000 0.0000 0.0000
F: 0.5000 0.5000 0.5000

Computed properties:
* D(E_F): 3.08 states/eV per cell
* E_tot: -3.261 eV/atom

***

Entry 4:
A plane-wave DFT calculation with PBE+U was carried out for Pb3WF after structural relaxation.

a b c (Å): 5.0781 5.0781 5.0781
angles (deg): 90.00 90.00 90.00
Positions (direct):
Pb: 0.0000 0.0000 0.5000
Pb: 0.0000 0.5000 0.0000
Pb: 0.5000 0.0000 0.0000
W: 0.5000 0.5000 0.5000
F: 0.0000 0.0000 0.0000

Computed properties:
* D(E_F): 2.87 states/eV per cell
* E_tot: -3.895 eV/atom